Pm2PuTh3S6: relaxed, PBE.

Cell: 9.026 9.026 8.048 Å, 103.83 103.83 25.75°
Positions (direct):
Pm (0.165, 0.165, 0.332)
Pm (0.835, 0.835, 0.668)
Pu (0.500, 0.500, 0.000)
Th (0.168, 0.168, 0.836)
Th (0.500, 0.500, 0.500)
Th (0.832, 0.832, 0.164)
S (0.000, 0.000, 0.243)
S (0.000, 0.000, 0.757)
S (0.332, 0.332, 0.417)
S (0.336, 0.336, 0.915)
S (0.664, 0.664, 0.085)
S (0.668, 0.668, 0.583)

## Properties
For the uncorrected formation energy, the calculation gives -1.892 eV/atom. As for the size of the total moment: 5.243 μB per formula unit.